DFT (PBE-GGA) results for a relaxed RbScAs2 crystal.

Cell lengths 7.315, 7.315, 7.315 Å; angles 90.00, 90.00, 90.00 degrees
Space group Fm-3m (No. 225)
One atom of each set of equivalent atoms:
Rb  0.000  0.000  0.000 (multiplicity 4)
Sc  0.000  0.000  0.500 (multiplicity 4)
As  0.250  0.250  0.250 (multiplicity 8)

Results
**E_form**: -130.5 meV per atom
**Energy**: -4.280 eV per atom